## 1
# PBE UPaSi, optimized geometry
data_UPaSi
_symmetry_space_group_name_H-M 'P 1'
_symmetry_Int_Tables_number 1
_cell_length_a 4.781
_cell_length_b 4.781
_cell_length_c 2.899
_cell_angle_alpha 90.00
_cell_angle_beta 90.00
_cell_angle_gamma 120.00
loop_
_symmetry_equiv_pos_as_xyz
'x,y,z'
loop_
_atom_site_label
_atom_site_type_symbol
_atom_site_fract_x
_atom_site_fract_y
_atom_site_fract_z
U1 U 0.000 0.000 0.000
Pa1 Pa 0.667 0.333 0.000
Si1 Si 0.333 0.667 0.500
# theoretical density: 14385 kg/m³
# crystal system: hexagonal

## 2
# PBE UPaSi, optimized geometry
data_UPaSi
_symmetry_space_group_name_H-M 'P 1'
_symmetry_Int_Tables_number 1
_cell_length_a 5.110
_cell_length_b 5.110
_cell_length_c 5.996
_cell_angle_alpha 90.00
_cell_angle_beta 90.00
_cell_angle_gamma 127.11
loop_
_symmetry_equiv_pos_as_xyz
'x,y,z'
loop_
_atom_site_label
_atom_site_type_symbol
_atom_site_fract_x
_atom_site_fract_y
_atom_site_fract_z
U1 U 0.185 0.815 0.750
U2 U 0.815 0.185 0.250
Pa1 Pa 0.500 0.500 0.000
Pa2 Pa 0.500 0.500 0.500
Si1 Si 0.134 0.866 0.250
Si2 Si 0.866 0.134 0.750
# theoretical density: 13221 kg/m³
# crystal system: orthorhombic

## 3
# PBE UPaSi, optimized geometry
data_UPaSi
_symmetry_space_group_name_H-M 'P 1'
_symmetry_Int_Tables_number 1
_cell_length_a 8.131
_cell_length_b 8.131
_cell_length_c 8.131
_cell_angle_alpha 150.68
_cell_angle_beta 150.68
_cell_angle_gamma 41.94
loop_
_symmetry_equiv_pos_as_xyz
'x,y,z'
loop_
_atom_site_label
_atom_site_type_symbol
_atom_site_fract_x
_atom_site_fract_y
_atom_site_fract_z
U1 U 0.000 0.500 0.500
U2 U 0.500 0.000 0.500
Pa1 Pa 0.170 0.170 0.000
Pa2 Pa 0.830 0.830 0.000
Si1 Si 0.362 0.362 0.000
Si2 Si 0.638 0.638 0.000
# theoretical density: 12841 kg/m³
# crystal system: tetragonal

## 4
# PBE UPaSi, optimized geometry
data_UPaSi
_symmetry_space_group_name_H-M 'P 1'
_symmetry_Int_Tables_number 1
_cell_length_a 7.904
_cell_length_b 7.904
_cell_length_c 7.904
_cell_angle_alpha 95.02
_cell_angle_beta 95.02
_cell_angle_gamma 145.58
loop_
_symmetry_equiv_pos_as_xyz
'x,y,z'
loop_
_atom_site_label
_atom_site_type_symbol
_atom_site_fract_x
_atom_site_fract_y
_atom_site_fract_z
U1 U 0.000 0.377 0.377
U2 U 0.000 0.623 0.623
U3 U 0.377 0.000 0.377
U4 U 0.623 0.000 0.623
Pa1 Pa 0.274 0.500 0.774
Pa2 Pa 0.500 0.274 0.774
Pa3 Pa 0.500 0.726 0.226
Pa4 Pa 0.726 0.500 0.226
Si1 Si 0.196 0.196 0.391
Si2 Si 0.196 0.804 0.000
Si3 Si 0.804 0.196 0.000
Si4 Si 0.804 0.804 0.609
# theoretical density: 12384 kg/m³
# crystal system: tetragonal

Most stable structure, least stable structure: 3, 4.